Entry 1:
Material: GdDyIn
Method: DFT, PBE
State: relaxed

Calculated values
Total magnetic moment: 0.90 Bohr magnetons per cell
Raw total energy: -26.11 eV/cell

Cell: 5.413 5.413 6.752 Å, 90.00 90.00 120.00°
Last column: magnetic moment on the atom in μB.
Fractional positions:
In1 0.333 0.667 0.250  -0.01
Dy1 0.667 0.333 0.250  0.14
Dy2 0.333 0.667 0.750  0.14
In2 0.667 0.333 0.750  -0.01
Gd1 0.000 0.000 0.000  0.20
Gd2 0.000 0.000 0.500  0.18


Entry 2:
Material: AuC8
Method: DFT, PBE
State: relaxed

Calculated values
Raw total energy: -74.29 eV/cell

Cell: 4.929 4.929 5.547 Å, 90.00 90.00 120.00°
Fractional positions:
Au1 0.000 0.000 0.500
C1 0.167 0.334 0.000
C2 0.333 0.667 0.000
C3 0.666 0.833 0.000
C4 0.833 0.666 0.000
C5 0.833 0.167 0.000
C6 0.667 0.333 0.000
C7 0.334 0.167 0.000
C8 0.167 0.833 0.000


Entry 3:
Material: Tb2GdCuSn3Ir2
Method: DFT, PBE
State: relaxed

Calculated values
Total magnetic moment: 0.00 Bohr magnetons per cell
Raw total energy: -53.88 eV/cell

Cell: 3.916 7.549 7.549 Å, 120.06 90.00 90.00°
Fractional positions:
Cu1 0.000 0.000 0.000
Ir1 0.500 0.667 0.333
Gd1 0.000 0.407 0.407
Tb1 0.000 0.000 0.593
Sn1 0.500 0.741 0.741
Sn2 0.500 0.259 0.000
Sn3 0.500 0.000 0.259
Ir2 0.500 0.333 0.667
Tb2 0.000 0.593 0.000


Entry 4:
Material: LuFeSiPt
Method: DFT, PBE
State: relaxed

Calculated values
Total magnetic moment: 2.91 Bohr magnetons per cell
Raw total energy: -25.60 eV/cell

Cell: 4.567 4.567 4.567 Å, 60.00 60.00 60.00°
Fractional positions:
Si1 0.000 0.000 0.000
Pt1 0.500 0.500 0.500
Lu1 0.250 0.250 0.250
Fe1 0.750 0.750 0.750


Repeat the fourth record exactly.
Material: LuFeSiPt
Method: DFT, PBE
State: relaxed

Calculated values
Total magnetic moment: 2.91 Bohr magnetons per cell
Raw total energy: -25.60 eV/cell

Cell: 4.567 4.567 4.567 Å, 60.00 60.00 60.00°
Fractional positions:
Si1 0.000 0.000 0.000
Pt1 0.500 0.500 0.500
Lu1 0.250 0.250 0.250
Fe1 0.750 0.750 0.750